1.
The following is a DFT calculation (PBE) of an optimized crystal structure of LaCdP.

Cell lengths 4.275, 4.275, 5.118 Å; angles 90.00, 90.00, 120.00 degrees
Element x y z (fractional)
1 La 0.000 0.000 0.000
2 Cd 0.667 0.333 0.550
3 P 0.333 0.667 0.306

Computed properties:
Its space group is P3m1. The value obtained for the relative energy among the computed polymorphs is 107 meV/atom.

***

2.
The following is a DFT calculation (PBE) of an optimized crystal structure of La2Cd2P.

Cell lengths 7.728, 7.728, 5.237 Å; angles 90.00, 90.00, 90.00 degrees
Element x y z (fractional)
1 La 0.166 0.334 0.000
2 La 0.334 0.834 0.000
3 La 0.666 0.166 0.000
4 La 0.834 0.666 0.000
5 Cd 0.138 0.638 0.500
6 Cd 0.362 0.138 0.500
7 Cd 0.638 0.862 0.500
8 Cd 0.862 0.362 0.500
9 P 0.000 0.000 0.000
10 P 0.500 0.500 0.000

Computed properties:
Its space group is P4/mbm. The value obtained for the relative energy among the computed polymorphs is 94 meV/atom.

***

3.
The following is a DFT calculation (PBE) of an optimized crystal structure of LaCd2P.

Cell lengths 6.377, 6.377, 6.377 Å; angles 41.71, 41.71, 41.71 degrees
Element x y z (fractional)
1 La 0.000 0.000 0.000
2 Cd 0.225 0.225 0.225
3 Cd 0.775 0.775 0.775
4 P 0.500 0.500 0.500

Computed properties:
Its space group is R-3m.

***

4.
The following is a DFT calculation (PBE) of an optimized crystal structure of La2CdP.

Cell lengths 4.430, 4.430, 6.281 Å; angles 90.00, 90.00, 90.00 degrees
Element x y z (fractional)
1 La 0.000 0.000 0.000
2 La 0.500 0.500 0.499
3 Cd 0.000 0.000 0.500
4 P 0.500 0.500 0.000

Computed properties:
Its space group is P4mm. The value obtained for the relative energy among the computed polymorphs is 227 meV/atom.

***

5.
The following is a DFT calculation (PBE) of an optimized crystal structure of LaCdP.

Cell lengths 6.555, 6.332, 3.662 Å; angles 76.85, 70.18, 32.96 degrees
Element x y z (fractional)
1 La 0.000 0.000 0.000
2 Cd 0.715 0.715 0.285
3 P 0.361 0.361 0.639

Computed properties:
Its space group is Fmm2. The value obtained for the relative energy among the computed polymorphs is 271 meV/atom.

***

6.
The following is a DFT calculation (PBE) of an optimized crystal structure of LaCd2P.

Cell lengths 6.787, 6.787, 4.190 Å; angles 107.83, 107.83, 35.37 degrees
Element x y z (fractional)
1 La 0.000 0.000 0.000
2 Cd 0.285 0.285 0.285
3 Cd 0.715 0.715 0.715
4 P 0.500 0.500 0.500

Computed properties:
Its space group is C2/m.

***

7.
The following is a DFT calculation (PBE) of an optimized crystal structure of LaCd2P.

Cell lengths 5.142, 5.142, 5.142 Å; angles 119.52, 119.52, 90.84 degrees
Element x y z (fractional)
1 La 0.000 0.000 0.000
2 Cd 0.250 0.750 0.500
3 Cd 0.500 0.500 0.000
4 P 0.750 0.250 0.500

Computed properties:
Its space group is I-4m2.

***

8.
The following is a DFT calculation (PBE) of an optimized crystal structure of La2CdP.

Cell lengths 3.806, 3.806, 7.385 Å; angles 90.00, 90.00, 90.00 degrees
Element x y z (fractional)
1 La 0.000 0.000 0.217
2 La 0.000 0.000 0.783
3 Cd 0.500 0.500 0.500
4 P 0.500 0.500 0.000

Computed properties:
Its space group is P4/mmm. The value obtained for the relative energy among the computed polymorphs is 79 meV/atom.

***

9.
The following is a DFT calculation (PBE) of an optimized crystal structure of La2CdP.

Cell lengths 5.503, 5.503, 5.503 Å; angles 125.69, 125.69, 80.40 degrees
Element x y z (fractional)
1 La 0.250 0.750 0.500
2 La 0.750 0.250 0.500
3 Cd 0.000 0.000 0.000
4 P 0.500 0.500 0.000

Computed properties:
Its space group is I4/mmm. The value obtained for the relative energy among the computed polymorphs is 264 meV/atom.

***

10.
The following is a DFT calculation (PBE) of an optimized crystal structure of La2CdP.

Cell lengths 3.687, 3.687, 8.978 Å; angles 90.00, 90.00, 101.60 degrees
Element x y z (fractional)
1 La 0.000 0.000 0.000
2 La 0.500 0.500 0.378
3 Cd 0.000 0.000 0.633
4 P 0.500 0.500 0.822

Computed properties:
Its space group is Cmm2. The value obtained for the relative energy among the computed polymorphs is 553 meV/atom.

***

11.
The following is a DFT calculation (PBE) of an optimized crystal structure of LaCd2P.

Cell lengths 4.346, 4.346, 6.948 Å; angles 108.28, 108.28, 60.19 degrees
Element x y z (fractional)
1 La 0.000 0.000 0.000
2 Cd 0.224 0.224 0.670
3 Cd 0.477 0.477 0.428
4 P 0.742 0.742 0.228

Computed properties:
Its space group is Cm.

***

12.
The following is a DFT calculation (PBE) of an optimized crystal structure of LaCd2P.

Cell lengths 4.215, 3.959, 6.415 Å; angles 90.00, 109.10, 90.00 degrees
Element x y z (fractional)
1 La 0.000 0.000 0.000
2 Cd 0.274 0.000 0.548
3 Cd 0.690 0.500 0.379
4 P 0.454 0.500 0.907

Computed properties:
Its space group is Pm.

***

13.
The following is a DFT calculation (PBE) of an optimized crystal structure of LaCdP.

Cell lengths 6.305, 6.305, 6.305 Å; angles 145.43, 145.43, 49.70 degrees
Element x y z (fractional)
1 La 0.000 0.000 0.000
2 Cd 0.716 0.716 0.000
3 P 0.388 0.388 0.000

Computed properties:
Its space group is I4mm. The value obtained for the relative energy among the computed polymorphs is 288 meV/atom.

***

14.
The following is a DFT calculation (PBE) of an optimized crystal structure of La2CdP.

Cell lengths 5.258, 5.258, 5.258 Å; angles 60.00, 60.00, 60.00 degrees
Element x y z (fractional)
1 La 0.000 0.000 0.000
2 La 0.250 0.250 0.250
3 Cd 0.750 0.750 0.750
4 P 0.500 0.500 0.500

Computed properties:
Its space group is F-43m. The value obtained for the relative energy among the computed polymorphs is 820 meV/atom.

***

15.
The following is a DFT calculation (PBE) of an optimized crystal structure of La2Cd2P.

Cell lengths 7.475, 7.475, 4.910 Å; angles 90.00, 90.00, 90.00 degrees
Element x y z (fractional)
1 La 0.169 0.331 0.000
2 La 0.331 0.831 0.000
3 La 0.669 0.169 0.000
4 La 0.831 0.669 0.000
5 Cd 0.135 0.635 0.500
6 Cd 0.365 0.135 0.500
7 Cd 0.635 0.865 0.500
8 Cd 0.865 0.365 0.500
9 P 0.000 0.000 0.500
10 P 0.500 0.500 0.500

Computed properties:
Its space group is P4/mbm. The value obtained for the relative energy among the computed polymorphs is 204 meV/atom.

***

16.
The following is a DFT calculation (PBE) of an optimized crystal structure of La2CdP.

Cell lengths 5.315, 5.315, 5.315 Å; angles 60.00, 60.00, 60.00 degrees
Element x y z (fractional)
1 La 0.250 0.250 0.250
2 La 0.750 0.750 0.750
3 Cd 0.000 0.000 0.000
4 P 0.500 0.500 0.500

Computed properties:
Its space group is Fm-3m. The value obtained for the relative energy among the computed polymorphs is 276 meV/atom.

***

17.
The following is a DFT calculation (PBE) of an optimized crystal structure of La2CdP.

Cell lengths 8.474, 8.474, 8.474 Å; angles 28.71, 28.71, 28.71 degrees
Element x y z (fractional)
1 La 0.235 0.235 0.235
2 La 0.765 0.765 0.765
3 Cd 0.000 0.000 0.000
4 P 0.500 0.500 0.500

Computed properties:
Its space group is R-3m. The value obtained for the relative energy among the computed polymorphs is 0 meV/atom.

***

18.
The following is a DFT calculation (PBE) of an optimized crystal structure of La2CdP.

Cell lengths 6.912, 6.912, 6.912 Å; angles 107.59, 107.59, 113.29 degrees
Element x y z (fractional)
1 La 0.087 0.125 0.462
2 La 0.375 0.913 0.038
3 La 0.663 0.625 0.538
4 La 0.875 0.337 0.962
5 Cd 0.250 0.750 0.500
6 Cd 0.500 0.500 0.000
7 P 0.000 0.000 0.000
8 P 0.750 0.250 0.500

Computed properties:
Its space group is I-42d. The value obtained for the relative energy among the computed polymorphs is 306 meV/atom.

***

19.
The following is a DFT calculation (PBE) of an optimized crystal structure of La2Cd2P.

Cell lengths 9.527, 9.527, 9.527 Å; angles 156.35, 156.35, 33.70 degrees
Element x y z (fractional)
1 La 0.087 0.087 0.000
2 La 0.913 0.913 0.000
3 Cd 0.250 0.750 0.500
4 Cd 0.750 0.250 0.500
5 P 0.500 0.500 0.000

Computed properties:
Its space group is I4/mmm. The value obtained for the relative energy among the computed polymorphs is 0 meV/atom.

***

20.
The following is a DFT calculation (PBE) of an optimized crystal structure of LaCd2P.

Cell lengths 4.257, 4.257, 5.427 Å; angles 90.00, 90.00, 90.00 degrees
Element x y z (fractional)
1 La 0.000 0.000 0.000
2 Cd 0.000 0.500 0.500
3 Cd 0.500 0.000 0.500
4 P 0.500 0.500 0.000

Computed properties:
Its space group is P4/mmm.

***

21.
The following is a DFT calculation (PBE) of an optimized crystal structure of LaCdP.

Cell lengths 8.924, 8.924, 8.924 Å; angles 32.22, 32.22, 32.22 degrees
Element x y z (fractional)
1 La 0.104 0.104 0.104
2 La 0.896 0.896 0.896
3 Cd 0.321 0.321 0.321
4 Cd 0.679 0.679 0.679
5 P 0.216 0.216 0.216
6 P 0.784 0.784 0.784

Computed properties:
Its space group is R-3m. The value obtained for the relative energy among the computed polymorphs is 0 meV/atom.

***

22.
The following is a DFT calculation (PBE) of an optimized crystal structure of LaCd2P.

Cell lengths 5.195, 5.195, 5.195 Å; angles 60.00, 60.00, 60.00 degrees
Element x y z (fractional)
1 La 0.000 0.000 0.000
2 Cd 0.250 0.250 0.250
3 Cd 0.750 0.750 0.750
4 P 0.500 0.500 0.500

Computed properties:
Its space group is Fm-3m.

***

23.
The following is a DFT calculation (PBE) of an optimized crystal structure of La2CdP.

Cell lengths 6.439, 6.439, 6.439 Å; angles 144.60, 135.38, 58.21 degrees
Element x y z (fractional)
1 La 0.000 0.000 0.000
2 La 0.716 0.216 0.500
3 Cd 0.417 0.417 0.000
4 P 0.220 0.720 0.500

Computed properties:
Its space group is Imm2. The value obtained for the relative energy among the computed polymorphs is 247 meV/atom.

***

24.
The following is a DFT calculation (PBE) of an optimized crystal structure of LaCdP.

Cell lengths 4.844, 4.844, 4.844 Å; angles 60.00, 60.00, 60.00 degrees
Element x y z (fractional)
1 La 0.000 0.000 0.000
2 Cd 0.500 0.500 0.500
3 P 0.250 0.250 0.250

Computed properties:
Its space group is F-43m. The value obtained for the relative energy among the computed polymorphs is 269 meV/atom.

***

25.
The following is a DFT calculation (PBE) of an optimized crystal structure of LaCd3P3.

Cell lengths 8.281, 8.281, 8.281 Å; angles 54.16, 54.16, 54.16 degrees
Element x y z (fractional)
1 La 0.166 0.166 0.166
2 La 0.834 0.834 0.834
3 Cd 0.062 0.377 0.704
4 Cd 0.296 0.938 0.623
5 Cd 0.377 0.704 0.062
6 Cd 0.623 0.296 0.938
7 Cd 0.704 0.062 0.377
8 Cd 0.938 0.623 0.296
9 P 0.074 0.761 0.422
10 P 0.239 0.578 0.926
11 P 0.422 0.074 0.761
12 P 0.578 0.926 0.239
13 P 0.761 0.422 0.074
14 P 0.926 0.239 0.578

Computed properties:
Its space group is R-3.

***

26.
The following is a DFT calculation (PBE) of an optimized crystal structure of LaCdP.

Cell lengths 4.872, 4.872, 4.872 Å; angles 60.00, 60.00, 60.00 degrees
Element x y z (fractional)
1 La 0.000 0.000 0.000
2 Cd 0.750 0.750 0.750
3 P 0.500 0.500 0.500

Computed properties:
Its space group is F-43m. The value obtained for the relative energy among the computed polymorphs is 592 meV/atom.

***

27.
The following is a DFT calculation (PBE) of an optimized crystal structure of LaCd2P.

Cell lengths 6.682, 6.682, 6.682 Å; angles 100.72, 100.72, 128.91 degrees
Element x y z (fractional)
1 La 0.000 0.000 0.000
2 La 0.750 0.250 0.500
3 Cd 0.183 0.625 0.058
4 Cd 0.375 0.433 0.558
5 Cd 0.567 0.125 0.942
6 Cd 0.875 0.817 0.442
7 P 0.250 0.750 0.500
8 P 0.500 0.500 0.000

Computed properties:
Its space group is I-42d.

***

28.
The following is a DFT calculation (PBE) of an optimized crystal structure of LaCd4P.

Cell lengths 5.920, 5.920, 5.920 Å; angles 60.00, 60.00, 60.00 degrees
Element x y z (fractional)
1 La 0.000 0.000 0.000
2 Cd 0.376 0.376 0.376
3 Cd 0.376 0.376 0.873
4 Cd 0.376 0.873 0.376
5 Cd 0.873 0.376 0.376
6 P 0.750 0.750 0.750

Computed properties:
Its space group is F-43m.

***

29.
The following is a DFT calculation (PBE) of an optimized crystal structure of La2CdP.

Cell lengths 4.255, 6.271, 6.271 Å; angles 41.82, 90.00, 90.00 degrees
Element x y z (fractional)
1 La 0.000 0.000 0.000
2 La 0.500 0.292 0.292
3 Cd 0.000 0.711 0.711
4 P 0.500 0.549 0.549

Computed properties:
Its space group is Amm2. The value obtained for the relative energy among the computed polymorphs is 136 meV/atom.

***

| no. | calculated formation energy (eV/atom) | final energy (eV for the cell shown) |
| --- | --- | --- |
| 1 | -0.6922 | -13.33 |
| 2 | -0.4076 | -38.27 |
| 3 | -0.1788 | -12.88 |
| 4 | -0.6400 | -18.74 |
| 5 | -0.5285 | -12.84 |
| 6 | -0.6459 | -14.75 |
| 7 | -0.3084 | -13.40 |
| 8 | -0.7876 | -19.33 |
| 9 | -0.6029 | -18.59 |
| 10 | -0.3136 | -17.43 |
| 11 | -0.4334 | -13.90 |
| 12 | -0.5735 | -14.46 |
| 13 | -0.5110 | -12.79 |
| 14 | -0.0465 | -16.37 |
| 15 | -0.2973 | -37.16 |
| 16 | -0.5910 | -18.54 |
| 17 | -0.8670 | -19.65 |
| 18 | -0.5611 | -36.85 |
| 19 | -0.5013 | -19.60 |
| 20 | -0.5442 | -14.34 |
| 21 | -0.7991 | -27.30 |
| 22 | -0.0676 | -12.44 |
| 23 | -0.6203 | -18.66 |
| 24 | -0.5296 | -12.84 |
| 25 | -0.5032 | -54.85 |
| 26 | -0.2071 | -11.87 |
| 27 | -0.4086 | -27.60 |
| 28 | 0.0112 | -13.93 |
| 29 | -0.7312 | -19.10 |